<w>
The following is a GGA-PBE calculation of an optimized crystal structure of PmAlMo, from OQMD via LeMat-Bulk.

Unit cell a=4.6366 b=4.6366 c=4.6366 alpha=60.00 beta=60.00 gamma=60.00
Fractional positions:
Al 0.2500 0.2500 0.2500
Mo 0.0000 0.0000 0.0000
Pm 0.7500 0.7500 0.7500

SG	F-43m, No. 216
mass density	6.31	g/cm³

=====

<x>
The following is a GGA-PBE calculation of an optimized crystal structure of PmAlMo, from OQMD via LeMat-Bulk.

Unit cell a=4.7664 b=4.7664 c=4.7664 alpha=60.00 beta=60.00 gamma=60.00
Fractional positions:
Al 0.5000 0.5000 0.5000
Mo 0.0000 0.0000 0.0000
Pm 0.2500 0.2500 0.2500

SG	F-43m, No. 216
mass density	5.81	g/cm³

=====

Of the structures shown above, <w> is the most stable.